Entry from Alexandria via LeMat-Bulk: a geometry-optimized BeZn2 structure (PBE-GGA).

Lattice parameters (Å, degrees): 2.6906 2.6906 6.1117 90.00 90.00 120.00
Space group P-3m1 (No. 164)
Symmetry-distinct sites (fractional):
Be: 0.0000 0.0000 0.0000 (multiplicity 1)
Zn: 0.3333 0.6667 0.3144 (multiplicity 2)

Output
DFT formation energy	193	meV per atom
final energy	-1.90	eV per atom
total magnetization	0.00	μB/atom